The following is a PBE calculation of crystalline ZrTi2Co at its relaxed geometry, from Alexandria via LeMat-Bulk.

```
ZrTi2Co
1.0
-2.986 0.906 2.438
-0.366 -1.880 3.466
1.871 3.334 4.268
Zr Ti Co
1 2 1
direct
0.491 0.491 0.528 Zr
0.051 0.051 0.846 Ti
0.278 0.278 0.167 Ti
0.680 0.680 0.959 Co
```

Summary:
* final energy: -7.81 eV per atom
* ΔE to the lowest computed polymorph: 272 meV per atom
* crystal system: trigonal
* density: 5721 kg/m3